## YTlCoAu (GGA-PBE)

Data for a geometry-optimized YTlCoAu structure.

Properties
Polymorph energy (0 for the lowest one), eV per atom: 0.0777
Crystal system: cubic
DFT total energy, eV per cell: -19.4

Lattice parameters (Å, degrees): 4.853 4.853 4.853 60.00 60.00 60.00
Fractional coordinates of all 4 atoms:
Y1 0.000 0.000 0.000
Tl1 0.250 0.250 0.250
Co1 0.500 0.500 0.500
Au1 0.750 0.750 0.750